[1]
KRbTe2Ir, optimized geometry, DFT GGA-PBE; ΔE_f (raw) = 1.0356 eV/atom; magnetization = 3.5 μB/f.u.; calculated density = 4.35 Mg/m³
1.0
6.228 0.000 0.000
0.000 5.630 0.000
0.000 0.000 6.228
K Ir Te Rb
1 1 2 1
direct
0.000 0.000 0.000
0.000 0.500 0.000
0.000 0.000 0.500
0.500 0.000 0.000
0.500 0.500 0.500

---

[2]
PS2BrCl, optimized geometry, DFT GGA-PBE; ΔE_f (raw) = 1.3204 eV/atom; magnetization = 0.0 μB/f.u.; calculated density = 3.08 Mg/m³
1.0
4.508 0.000 0.000
0.000 4.508 0.000
0.000 0.000 5.592
P S Br Cl
1 2 1 1
direct
0.000 0.000 0.500
0.000 0.500 0.000
0.500 0.000 0.000
0.500 0.500 0.500
0.000 0.000 0.000

---

[3]
PmEuRh, optimized geometry, DFT GGA-PBE; magnetization = 7.1 μB/f.u.; formation energy = -0.40 eV per atom; calculated density = 6.99 Mg/m³
1.0
-4.329 -4.735 1.157
0.979 -1.767 -3.569
2.027 -1.018 3.416
Eu Rh Pm
1 1 1
direct
0.752 0.667 0.333
0.012 0.000 0.000
0.235 0.333 0.667

---

[4]
Li2PbW, optimized geometry, DFT GGA-PBE; magnetization = 0.0 μB/f.u.; formation energy = 0.56 eV per atom; calculated density = 9.12 Mg/m³
1.0
-3.914 2.659 0.550
-1.460 -2.324 0.850
1.068 0.477 5.296
Li Pb W
2 1 1
direct
0.000 0.003 0.021
0.500 0.310 0.216
0.000 0.411 0.532
0.500 0.776 0.732

---

[5]
SrOs2Ru, optimized geometry, DFT GGA-PBE; magnetization = 0.0 μB/f.u.; formation energy = 1.05 eV per atom; calculated density = 13.76 Mg/m³
1.0
5.263 0.021 0.000
-2.113 4.820 0.000
0.000 0.000 2.701
Os Ru Sr
2 1 1
direct
0.000 0.000 0.000
0.500 0.500 0.000
0.500 0.000 0.500
0.000 0.500 0.500

---

[6]
Nd7Dy4Mg, optimized geometry, DFT GGA-PBE; magnetization = 0.0 μB/f.u.; formation energy = 0.19 eV per atom; calculated density = 6.93 Mg/m³
1.0
5.410 0.000 1.470
2.288 5.415 2.271
-0.657 -1.590 13.107
Nd Dy Mg
7 4 1
direct
0.774 0.555 0.897
0.226 0.445 0.103
0.160 0.936 0.745
0.840 0.064 0.255
0.361 0.808 0.469
0.500 0.000 0.000
0.639 0.192 0.531
0.545 0.687 0.222
0.455 0.313 0.778
0.909 0.555 0.628
0.091 0.445 0.372
0.000 0.000 0.000

---

[7]
RuAuCl2, optimized geometry, DFT GGA-PBE; ΔE_f (raw) = 0.0534 eV/atom; magnetization = 0.8 μB/f.u.; calculated density = 6.25 Mg/m³
1.0
-0.963 5.198 0.079
-2.592 4.006 2.279
3.986 3.297 4.737
Ru Au Cl
1 1 2
direct
0.444 0.444 0.375
0.183 0.183 0.375
0.012 0.012 0.090
0.861 0.861 0.660

---

[8]
SrPm2C, optimized geometry, DFT GGA-PBE; magnetization = 0.0 μB/f.u.; formation energy = -0.04 eV per atom; calculated density = 5.20 Mg/m³
1.0
3.778 0.000 0.000
-1.889 3.272 -0.038
0.000 0.102 10.057
Sr Pm C
1 2 1
direct
0.000 0.000 0.000
0.333 0.666 0.363
0.667 0.334 0.637
0.000 0.000 0.500

---

[9]
PmNb2Cr, optimized geometry, DFT GGA-PBE; magnetization = 0.0 μB/f.u.; formation energy = 0.60 eV per atom; calculated density = 7.87 Mg/m³
1.0
-2.411 -1.634 1.011
-1.315 -2.102 -1.832
4.865 -8.102 3.211
Cr Nb Pm
1 2 1
direct
0.500 0.500 0.500
0.103 0.103 0.691
0.897 0.897 0.309
0.000 0.000 0.000

---

[10]
AcLa2Pr5Nd, optimized geometry, DFT GGA-PBE; magnetization = 0.0 μB/f.u.; formation energy = 0.24 eV per atom; calculated density = 6.66 Mg/m³
1.0
-0.661 -0.612 9.022
-9.022 -0.568 -0.700
5.396 -7.584 -4.675
Ac La Pr Nd
2 4 10 2
direct
0.250 0.750 0.500
0.750 0.250 0.500
0.116 0.384 0.000
0.616 0.116 0.000
0.384 0.884 0.000
0.884 0.616 0.000
0.921 0.421 0.274
0.647 0.147 0.726
0.079 0.579 0.726
0.147 0.079 0.726
0.579 0.647 0.726
0.853 0.921 0.274
0.421 0.353 0.274
0.353 0.853 0.274
0.500 0.500 0.000
0.000 0.000 0.000
0.250 0.250 0.500
0.750 0.750 0.500

---

[11]
Ac4TmPb5, optimized geometry, DFT GGA-PBE; magnetization = 0.0 μB/f.u.; formation energy = -0.46 eV per atom; calculated density = 10.36 Mg/m³
1.0
-2.071 0.721 -3.139
-3.063 -1.595 1.654
-6.005 20.533 8.678
Ac Tm Pb
4 1 5
direct
0.000 0.000 0.189
0.000 0.000 0.396
0.000 0.000 0.604
0.000 0.000 0.811
0.000 0.000 0.000
0.500 0.500 0.086
0.500 0.500 0.293
0.500 0.500 0.500
0.500 0.500 0.707
0.500 0.500 0.914

---

[12]
PuPaNb, optimized geometry, DFT GGA-PBE; magnetization = 4.3 μB/f.u.; formation energy = 0.12 eV per atom; calculated density = 14.60 Mg/m³
1.0
-2.378 1.884 -0.079
-1.653 -1.907 4.267
3.077 3.886 0.049
Nb Pa Pu
1 1 1
direct
0.333 0.333 0.667
0.833 0.667 0.333
0.834 0.000 0.000